# 1
First-principles (PBE) data for a geometry-optimized Cs2NaTe2O6 structure, as listed in Alexandria.

Output
SG: No. 12
Raw formation energy in eV/atom: -1.2523

abc: 6.5992 6.5882 8.9239
angles: 111.50 90.00 120.06
Fractional coordinates of all 11 atoms:
Cs: 0.7742 0.5483 0.3218
Cs: 0.2258 0.4517 0.6782
Na: 0.5000 0.0000 0.5000
Te: 0.9235 0.8470 0.7726
Te: 0.0765 0.1530 0.2274
O: 0.7427 0.4854 0.6775
O: 0.2563 0.0648 0.3209
O: 0.1915 0.9352 0.6791
O: 0.7437 0.9352 0.6791
O: 0.8085 0.0648 0.3209
O: 0.2573 0.5146 0.3225

=====

# 2
First-principles (PBE) data for a geometry-optimized LiPm2UAs4 structure, as listed in Alexandria.

Output
Calculated formation energy in meV per atom: -982
SG: No. 10

abc: 4.1674 7.0733 7.1575
angles: 108.71 90.00 90.00
Fractional coordinates of all 8 atoms:
Li: 0.5000 0.5000 0.0000
Pm: 0.5000 0.0000 0.5000
Pm: 0.0000 0.5000 0.5000
U: 0.0000 0.0000 0.0000
As: 0.5000 0.2428 0.2342
As: 0.5000 0.7572 0.7658
As: 0.0000 0.2423 0.7666
As: 0.0000 0.7577 0.2334

=====

# 3
First-principles (PBE) data for a geometry-optimized Pa2CrP5 structure, as listed in Alexandria.

Output
Calculated formation energy in meV per atom: -663
SG: No. 8

abc: 6.2197 6.2197 6.0002
angles: 126.11 126.09 82.13
Fractional coordinates of all 8 atoms:
Pa: 0.2730 0.7723 0.5448
Pa: 0.7724 0.2719 0.5448
Cr: 0.9920 0.9925 0.9844
P: 0.7125 0.2838 0.9964
P: 0.2659 0.2654 0.0422
P: 0.7770 0.7765 0.0424
P: 0.2829 0.7126 0.9955
P: 0.7013 0.7019 0.4034

=====

# 4
First-principles (PBE) data for a geometry-optimized Rb2Tl9In3 structure, as listed in Alexandria.

Output
Calculated formation energy in meV per atom: -47
SG: No. 15

abc: 9.5906 9.5906 12.9970
angles: 89.50 112.27 119.88
Fractional coordinates of all 28 atoms:
Rb: 0.3351 0.2455 0.7515
Rb: 0.6649 0.7545 0.2485
Rb: 0.9941 0.5836 0.7485
Rb: 0.0059 0.4164 0.2515
Tl: 0.4681 0.9214 0.7454
Tl: 0.5319 0.0786 0.2546
Tl: 0.6760 0.7227 0.7546
Tl: 0.3240 0.2773 0.2454
Tl: 0.4416 0.6375 0.9126
Tl: 0.5584 0.3625 0.0874
Tl: 0.2249 0.5290 0.5874
Tl: 0.7751 0.4710 0.4126
Tl: 0.8684 0.1184 0.7500
Tl: 0.1316 0.8816 0.2500
Tl: 0.1279 0.9802 0.9409
Tl: 0.8721 0.0198 0.0591
Tl: 0.5393 0.1870 0.5591
Tl: 0.4607 0.8130 0.4409
Tl: 0.8887 0.8630 0.5834
Tl: 0.1113 0.1370 0.4166
Tl: 0.7796 0.3052 0.9166
Tl: 0.2204 0.6948 0.0834
In: 0.5000 0.0000 0.0000
In: 0.5000 0.5000 0.5000
In: 0.8501 0.1759 0.5018
In: 0.1499 0.8241 0.4982
In: 0.1741 0.3483 0.9982
In: 0.8259 0.6517 0.0018

=====

| no. | volume (A^3/atom) |
| --- | --- |
| 1 | 27.656 |
| 2 | 24.979 |
| 3 | 17.934 |
| 4 | 33.384 |